DFT (GGA-PBE) results for a relaxed structure of Nb11Ir9Os4.

Geometry as POSCAR:
```
Nb11Ir9Os4
1.0
-0.077 3.006 0.012
-11.679 -0.313 3.229
8.221 0.176 8.905
Nb Ir Os
11 9 4
Cartesian
0.815 -0.020 10.495 Nb
-4.273 -0.116 1.640 Nb
-6.224 -0.194 8.487 Nb
2.766 0.057 3.647 Nb
-4.299 -0.132 5.334 Nb
0.841 -0.005 6.800 Nb
-8.226 -0.228 4.214 Nb
4.768 0.091 7.920 Nb
0.000 0.000 0.000 Nb
-2.496 -0.099 8.759 Nb
-0.962 -0.038 3.375 Nb
-5.966 1.337 3.420 Ir
2.431 1.532 8.726 Ir
3.198 1.563 6.034 Ir
-6.733 1.307 6.112 Ir
-1.541 1.420 11.134 Ir
-1.994 1.449 1.013 Ir
-4.627 1.344 10.254 Ir
1.092 1.525 1.893 Ir
-1.768 1.435 6.073 Ir
-0.397 1.460 8.595 Os
-3.138 1.409 3.552 Os
-4.261 1.365 7.493 Os
0.726 1.504 4.654 Os
```

Energy relative to the elements (meV/atom): -320
SG: Cmmm (65)
Magnetic moment (μB per formula unit): 0.00


DFT (GGA-PBE) results for a relaxed structure of Nb9Ir11Os4.

Geometry as POSCAR:
```
Nb9Ir11Os4
1.0
-0.937 -2.213 1.473
11.231 -1.679 4.627
-7.367 7.401 6.428
Nb Ir Os
9 11 4
Cartesian
5.101 -0.874 4.630 Nb
-2.175 4.384 7.898 Nb
-3.041 3.101 5.419 Nb
5.968 0.409 7.109 Nb
1.229 4.800 10.689 Nb
1.698 -1.290 1.839 Nb
4.674 3.118 10.355 Nb
-1.748 0.392 2.173 Nb
1.463 1.755 6.264 Nb
-0.396 6.137 8.966 Ir
4.260 -0.414 2.089 Ir
6.433 2.803 8.305 Ir
-2.569 2.919 2.750 Ir
4.184 1.762 5.309 Ir
-0.320 3.960 5.746 Ir
7.743 0.025 4.965 Ir
-3.878 5.698 6.090 Ir
0.000 0.000 0.000 Ir
2.992 4.430 8.559 Ir
0.872 1.292 2.496 Ir
0.415 3.567 8.319 Os
2.512 -0.057 4.209 Os
3.833 1.899 7.988 Os
-0.906 1.611 4.540 Os
```

Energy relative to the elements (meV/atom): -306
SG: Cmmm (65)
Magnetic moment (μB per formula unit): 0.00


DFT (GGA-PBE) results for a relaxed structure of NbIrOs.

Geometry as POSCAR:
```
NbIrOs
1.0
-3.163 -1.810 0.640
1.907 -2.513 2.316
-1.356 4.481 5.978
Nb Ir Os
2 2 2
Cartesian
0.614 -0.136 2.653 Nb
-0.064 2.105 5.641 Nb
0.000 0.000 0.000 Ir
-0.678 2.241 2.989 Ir
-1.920 0.215 1.815 Os
-0.692 -0.057 7.119 Os
```

Energy relative to the elements (meV/atom): 459
Excess energy over the best structure of this formula in the dataset (meV per atom): 718
SG: Pmmm (47)
Magnetic moment (μB per formula unit): 0.00


DFT (GGA-PBE) results for a relaxed structure of NbIr6Os.

Geometry as POSCAR:
```
NbIr6Os
1.0
3.897 0.000 0.000
0.000 5.519 -0.035
0.000 0.035 5.519
Nb Ir Os
1 6 1
Cartesian
1.949 0.000 0.000 Nb
0.000 4.125 1.377 Ir
0.000 1.430 4.107 Ir
0.000 4.142 4.089 Ir
0.000 1.413 1.395 Ir
1.949 2.760 -0.018 Ir
1.949 0.018 2.760 Ir
1.949 2.777 2.742 Os
```

Energy relative to the elements (meV/atom): -219
SG: P4/mmm (123)
Magnetic moment (μB per formula unit): 0.00


DFT (GGA-PBE) results for a relaxed structure of Nb4IrOs5.

Geometry as POSCAR:
```
Nb4IrOs5
1.0
-3.819 -2.212 -0.027
-1.016 -2.576 -5.982
1.132 -6.373 1.248
Nb Ir Os
4 1 5
Cartesian
-0.494 -5.739 -1.019 Nb
-2.190 -2.813 -0.827 Nb
-3.422 -9.454 -3.948 Nb
-1.299 -4.316 -3.729 Nb
-0.955 -0.553 -0.007 Ir
-1.542 -8.317 -2.245 Os
-3.344 -5.232 -0.090 Os
-2.806 -6.134 -2.388 Os
-2.267 -7.035 -4.686 Os
-4.070 -3.950 -2.530 Os
```

Energy relative to the elements (meV/atom): 52
SG: Immm (71)
Magnetic moment (μB per formula unit): 0.00


DFT (GGA-PBE) results for a relaxed structure of Nb2IrOs.

Geometry as POSCAR:
```
Nb2IrOs
1.0
-4.465 -0.565 -0.547
-2.828 3.471 0.713
-2.120 1.952 -3.500
Nb Ir Os
2 1 1
Cartesian
-2.353 1.214 -0.833 Nb
-7.059 3.643 -2.500 Nb
-4.706 2.429 -1.667 Ir
0.000 0.000 0.000 Os
```

Energy relative to the elements (meV/atom): -118
Excess energy over the best structure of this formula in the dataset (meV per atom): 173
SG: Fm-3m (225)
Magnetic moment (μB per formula unit): 0.00


DFT (GGA-PBE) results for a relaxed structure of Nb2IrOs2.

Geometry as POSCAR:
```
Nb2IrOs2
1.0
4.804 -0.428 -0.915
-3.133 3.764 -0.332
0.052 -0.522 4.876
Nb Ir Os
2 1 2
Cartesian
2.520 1.101 0.116 Nb
-0.798 1.713 3.513 Nb
0.000 0.000 0.000 Ir
1.273 0.262 2.404 Os
0.449 2.552 1.224 Os
```

Energy relative to the elements (meV/atom): -167
Excess energy over the best structure of this formula in the dataset (meV per atom): 0
SG: C2/m (12)
Magnetic moment (μB per formula unit): 0.00


DFT (GGA-PBE) results for a relaxed structure of NbIr2Os.

Geometry as POSCAR:
```
NbIr2Os
1.0
3.946 0.000 0.000
0.000 3.917 0.000
0.000 0.000 3.917
Nb Ir Os
1 2 1
Cartesian
1.973 0.000 0.000 Nb
0.000 0.000 1.958 Ir
0.000 1.958 0.000 Ir
1.973 1.958 1.958 Os
```

Energy relative to the elements (meV/atom): -434
Excess energy over the best structure of this formula in the dataset (meV per atom): 0
SG: P4/mmm (123)
Magnetic moment (μB per formula unit): 0.00


DFT (GGA-PBE) results for a relaxed structure of Nb2Ir9Os.

Geometry as POSCAR:
```
Nb2Ir9Os
1.0
-0.580 3.853 0.247
-0.654 0.148 -3.846
-11.460 -1.846 1.878
Nb Ir Os
2 9 1
Cartesian
-3.826 -0.616 0.627 Nb
-7.634 -1.230 1.251 Nb
-0.617 2.000 -1.800 Ir
-4.414 1.389 -1.178 Ir
-8.280 0.766 -0.544 Ir
-2.156 1.626 0.429 Ir
-6.020 1.004 1.062 Ir
-9.884 0.381 1.695 Ir
-2.193 -0.227 -1.617 Ir
-6.057 -0.849 -0.984 Ir
-9.921 -1.472 -0.351 Ir
0.000 0.000 0.000 Os
```

Energy relative to the elements (meV/atom): -352
SG: P4/mmm (123)
Magnetic moment (μB per formula unit): 0.00


DFT (GGA-PBE) results for a relaxed structure of NbIrOsRh.

Geometry as POSCAR:
```
NbIrOsRh
1.0
3.903 0.000 0.000
0.000 3.942 0.000
0.000 0.000 3.918
Nb Ir Os Rh
1 1 1 1
Cartesian
0.000 1.971 1.959 Nb
0.000 0.000 0.000 Ir
1.951 1.971 0.000 Os
1.951 0.000 1.959 Rh
```

Energy relative to the elements (meV/atom): -395
SG: Pmmm (47)
Magnetic moment (μB per formula unit): 0.00


DFT (GGA-PBE) results for a relaxed structure of Nb2IrOsRh.

Geometry as POSCAR:
```
Nb2IrOsRh
1.0
4.778 0.000 0.000
0.000 4.676 0.000
0.000 0.000 4.778
Rh Nb Ir Os
1 2 1 1
Cartesian
2.389 2.338 2.389 Rh
0.000 0.000 2.389 Nb
2.389 0.000 0.000 Nb
0.000 0.000 0.000 Ir
0.000 2.338 0.000 Os
```

Energy relative to the elements (meV/atom): 1413
SG: P4/mmm (123)
Magnetic moment (μB per formula unit): 0.00


DFT (GGA-PBE) results for a relaxed structure of NbIrOsRu2.

Geometry as POSCAR:
```
NbIrOsRu2
1.0
2.747 0.000 0.000
-1.373 6.401 0.000
0.000 0.000 8.826
Nb Ir Os Ru
2 2 2 4
Cartesian
1.373 4.441 6.620 Nb
0.000 1.960 2.207 Nb
1.373 0.545 6.620 Ir
0.000 5.855 2.207 Ir
0.000 0.000 0.000 Os
0.000 0.000 4.413 Os
0.000 2.500 8.006 Ru
1.373 3.901 0.820 Ru
0.000 2.500 5.233 Ru
1.373 3.901 3.593 Ru
```

Energy relative to the elements (meV/atom): 102
SG: Cmcm (63)
Magnetic moment (μB per formula unit): 0.00


no.,D(E_F) (states/eV/f.u.),DFT total energy (eV for the cell shown)
1,15.4,-243.12
2,19.3,-240.36
3,3.1,-57.57
4,7.0,-76.22
5,7.8,-104.77
6,9.3,-40.70
7,3.9,-52.30
8,2.7,-40.76
9,8.5,-115.34
10,3.0,-39.09
11,6.2,-40.51
12,5.4,-96.41